No. 1
! AlCuP (PBE, optimized geometry); values from VASP
&SYSTEM
  ibrav = 0, nat = 6, ntyp = 3
/
ATOMIC_SPECIES
Al 26.98 Al.upf
Cu 63.55 Cu.upf
P 30.97 P.upf
ATOMIC_POSITIONS angstrom
Al 0.000 0.000 1.731
Al 0.000 0.000 5.193
Cu 0.000 1.818 0.000
Cu 1.818 0.000 3.462
P 1.818 1.818 1.731
P 1.818 1.818 5.193
CELL_PARAMETERS angstrom
3.636 0.000 0.000
0.000 3.636 0.000
0.000 0.000 6.924
! **Symmetry**: No. 131
! **Final energy**: -13.0 eV/f.u.

=====

No. 2
! PaAlCu (PBE, optimized geometry); values from VASP
&SYSTEM
  ibrav = 0, nat = 3, ntyp = 3
/
ATOMIC_SPECIES
Pa 231.04 Pa.upf
Al 26.98 Al.upf
Cu 63.55 Cu.upf
ATOMIC_POSITIONS angstrom
Pa 0.000 0.000 0.000
Al 3.158 3.158 3.158
Cu 4.736 4.736 4.736
CELL_PARAMETERS angstrom
0.000 3.158 3.158
3.158 0.000 3.158
3.158 3.158 0.000
! **Symmetry**: No. 216
! **Final energy**: -16.6 eV/f.u.

=====

No. 3
! PaAlCu2 (PBE, optimized geometry); values from VASP
&SYSTEM
  ibrav = 0, nat = 8, ntyp = 3
/
ATOMIC_SPECIES
Pa 231.04 Pa.upf
Al 26.98 Al.upf
Cu 63.55 Cu.upf
ATOMIC_POSITIONS angstrom
Pa 1.877 1.422 1.906
Pa 5.786 4.499 3.437
Al 2.166 3.972 0.006
Al 5.497 1.949 5.337
Cu 2.859 2.192 4.504
Cu 3.064 3.923 2.669
Cu 4.598 1.998 2.674
Cu 4.804 3.729 0.839
CELL_PARAMETERS angstrom
5.243 0.000 0.000
1.329 5.091 0.000
1.090 0.831 5.343
! **Symmetry**: No. 2
! **Final energy**: -20.3 eV/f.u.

=====

No. 4
! Pa2Al3Cu (PBE, optimized geometry); values from VASP
&SYSTEM
  ibrav = 0, nat = 12, ntyp = 3
/
ATOMIC_SPECIES
Pa 231.04 Pa.upf
Al 26.98 Al.upf
Cu 63.55 Cu.upf
ATOMIC_POSITIONS angstrom
Pa 0.000 3.215 0.715
Pa 0.000 3.215 3.488
Pa 2.784 1.608 4.918
Pa 2.784 1.608 7.691
Al 0.000 1.625 6.304
Al -1.377 4.011 6.304
Al 1.407 0.812 2.101
Al 1.377 4.011 6.304
Al 4.162 0.812 2.101
Al 2.784 3.198 2.101
Cu 0.000 0.000 0.000
Cu 0.000 0.000 4.203
CELL_PARAMETERS angstrom
5.569 0.000 0.000
-2.784 4.823 0.000
0.000 0.000 8.406
! **Symmetry**: No. 194
! **Final energy**: -35.6 eV/f.u.

=====

No. 5
! PaAlCu (PBE, optimized geometry); values from VASP
&SYSTEM
  ibrav = 0, nat = 3, ntyp = 3
/
ATOMIC_SPECIES
Pa 231.04 Pa.upf
Al 26.98 Al.upf
Cu 63.55 Cu.upf
ATOMIC_POSITIONS angstrom
Pa 0.000 0.000 0.000
Al 4.943 4.943 4.943
Cu 1.648 1.648 1.648
CELL_PARAMETERS angstrom
0.000 3.295 3.295
3.295 0.000 3.295
3.295 3.295 0.000
! **Symmetry**: No. 216
! **Final energy**: -14.7 eV/f.u.

=====

No. 6
! AlCu2Pb (PBE, optimized geometry); values from VASP
&SYSTEM
  ibrav = 0, nat = 16, ntyp = 3
/
ATOMIC_SPECIES
Al 26.98 Al.upf
Cu 63.55 Cu.upf
Pb 207.20 Pb.upf
ATOMIC_POSITIONS angstrom
Al 0.000 0.000 0.000
Al 0.000 0.000 3.263
Al 0.000 3.263 0.000
Al 3.263 0.000 0.000
Cu 1.397 1.397 1.397
Cu 1.397 1.397 5.130
Cu 1.397 5.130 1.397
Cu 1.397 5.130 5.130
Cu 5.130 1.397 1.397
Cu 5.130 1.397 5.130
Cu 5.130 5.130 1.397
Cu 5.130 5.130 5.130
Pb 0.000 3.263 3.263
Pb 3.263 0.000 3.263
Pb 3.263 3.263 0.000
Pb 3.263 3.263 3.263
CELL_PARAMETERS angstrom
6.527 0.000 0.000
0.000 6.527 0.000
0.000 0.000 6.527
! **Symmetry**: No. 221
! **Final energy**: -14.3 eV/f.u.